First-principles (meta-GGA SCAN) data for MnZnF2 at its PBEsol-relaxed geometry, as listed in Alexandria.

POSCAR file:
```
MnZnF2
1.0
1.376 0.795 7.695
-1.376 0.795 7.695
0.000 -1.589 7.695
Mn Zn F
1 1 2
Direct
0.000 0.000 0.000
0.500 0.500 0.500
0.078 0.078 0.078
0.922 0.922 0.922
```

SG ... R-3m
ΔE_f (raw) ... -1.490 eV/atom
E ... -11.202 eV/atom


First-principles (meta-GGA SCAN) data for ZrMnF2 at its PBEsol-relaxed geometry, as listed in Alexandria.

POSCAR file:
```
ZrMnF2
1.0
0.000 2.951 2.951
2.951 0.000 2.951
2.951 2.951 0.000
Zr Mn F
1 1 2
Direct
0.000 0.000 0.000
0.500 0.500 0.500
0.250 0.250 0.250
0.750 0.750 0.750
```

SG ... Fm-3m
ΔE_f (raw) ... -1.286 eV/atom
E ... -15.295 eV/atom


First-principles (meta-GGA SCAN) data for Zr3MnF at its PBEsol-relaxed geometry, as listed in Alexandria.

POSCAR file:
```
Zr3MnF
1.0
4.442 0.000 0.000
0.000 4.442 0.000
0.000 0.000 4.442
Zr Mn F
3 1 1
Direct
0.000 0.000 0.500
0.000 0.500 0.000
0.500 0.000 0.000
0.500 0.500 0.500
0.000 0.000 0.000
```

SG ... Pm-3m
ΔE_f (raw) ... -0.657 eV/atom
E ... -23.435 eV/atom


Number 1: volume 50.5 Å³ per cell. Number 2: volume 51.4 Å³ per cell. Number 3: volume 87.6 Å³ per cell.